Material: Rb2PdWF6
Method: DFT, PBE with a Hubbard U
State: relaxed

a = 6.158 Å, b = 6.158 Å, c = 10.010 Å
α = 90.00°, β = 90.00°, γ = 90.00°
Space group I4/mmm (No. 139)
Symmetry-distinct sites (fractional):
Rb 0.000 0.500 0.250
Pd 0.000 0.000 0.000
W 0.000 0.000 0.500
F 0.000 0.000 0.290
F 0.243 0.243 0.500

Output
Total energy = -4.800 eV per atom